Record 1
The following is a GGA-PBE calculation of an optimized crystal structure of BaNaAs, from Alexandria.

## Properties
Total moment: 0.0 μB/f.u.
Energy of formation: -0.8564 eV per atom

a b c (Å): 8.2368 4.8303 9.3540
angles (deg): 90.00 90.00 90.00
With the nearest neighbours (Å) after each atom.
Atoms (fractional coordinates):
Ba (0.0338, 0.2500, 0.1848)  5 As 3.36-3.50, 3 Na 3.62-3.66
Ba (0.4662, 0.7500, 0.6848)  5 As 3.36-3.50, 3 Na 3.62-3.66
Ba (0.5338, 0.2500, 0.3152)  5 As 3.36-3.50, 3 Na 3.62-3.66
Ba (0.9662, 0.7500, 0.8152)  5 As 3.36-3.50, 3 Na 3.62-3.66
Na (0.1363, 0.2500, 0.5615)  4 As 3.06-3.18
Na (0.3637, 0.7500, 0.0615)  4 As 3.06-3.18
Na (0.6363, 0.2500, 0.9385)  4 As 3.06-3.18
Na (0.8637, 0.7500, 0.4385)  4 As 3.06-3.18
As (0.2419, 0.7500, 0.3843)  4 Na 3.06-3.18, 1 Ba 3.36
As (0.2581, 0.2500, 0.8843)  4 Na 3.06-3.18, 1 Ba 3.36
As (0.7419, 0.7500, 0.1157)  4 Na 3.06-3.18, 1 Ba 3.36
As (0.7581, 0.2500, 0.6157)  4 Na 3.06-3.18, 1 Ba 3.36

Record 2
The following is a GGA-PBE calculation of an optimized crystal structure of Au3Br, from Alexandria.

## Properties
DOS at the Fermi energy: 0.269 states/eV/atom
Total moment: 0.0 μB/f.u.
Uncorrected formation energy: 0.196 eV per atom

a b c (Å): 3.7917 3.7917 7.5084
angles (deg): 104.61 104.61 59.69
With the nearest neighbours (Å) after each atom.
Atoms (fractional coordinates):
Au (0.0000, 0.0000, 0.0000)  6 Au 2.74
Au (0.2561, 0.2561, 0.7695)  3 Au 2.74, 3 Br 2.92-2.93
Au (0.7439, 0.7439, 0.2305)  3 Au 2.74, 3 Br 2.92-2.93
Br (0.5000, 0.5000, 0.5000)  6 Au 2.92-2.93

| no. | calculated volume (Å³/cell) |
| --- | --- |
| 1 | 372.2 |
| 2 | 89.2 |